Entry 1:
A relaxed structure of CdGa3C. Source: Alexandria, functional PBE.

abc: 5.157 5.157 5.157
angles: 90.00 90.00 90.00
Positions (direct):
Ga 0.000 0.000 0.500
Ga 0.000 0.500 0.000
Ga 0.500 0.000 0.000
Cd 0.000 0.000 0.000
C 0.500 0.500 0.500

- Energy: -2.131 eV/atom
- Distance to the lowest polymorph of the same formula: 1.035 eV per atom
- Total moment: 0.41 μB/atom
- Formation energy: 1.713 eV/atom
- Space group: Pm-3m (221)

=====

Entry 2:
A relaxed structure of Gd2ZrGa. Source: Alexandria, functional PBE.

abc: 3.378 3.378 11.572
angles: 81.61 81.61 60.00
Positions (direct):
Gd 0.089 0.089 0.733
Gd 0.911 0.911 0.267
Ga 0.000 0.000 0.000
Zr 0.500 0.500 0.500

- Energy: -9.762 eV/atom
- Distance to the lowest polymorph of the same formula: 0.383 eV per atom
- Total moment: 3.69 μB/atom
- Formation energy: 0.172 eV/atom
- Space group: R-3m (166)

=====

Entry 3:
A relaxed structure of TaTe4. Source: Alexandria, functional PBE.

abc: 6.823 6.823 6.823
angles: 93.91 93.91 149.73
Positions (direct):
Ta 0.000 0.000 0.000
Te 0.274 0.404 0.679
Te 0.726 0.596 0.321
Te 0.404 0.726 0.130
Te 0.596 0.274 0.870

- Energy: -4.850 eV/atom
- Distance to the lowest polymorph of the same formula: 0.295 eV per atom
- Total moment: 0.00 μB/atom
- Space group: I4/m (87)

=====

Entry 4:
A relaxed structure of K2RuPb. Source: Alexandria, functional PBE.

abc: 5.714 3.305 6.514
angles: 63.41 90.00 90.00
Positions (direct):
Ru 0.500 0.750 0.750
K 0.000 0.957 0.990
K 0.000 0.543 0.510
Pb 0.500 0.250 0.250

- Energy: -3.037 eV/atom
- Total moment: 0.31 μB/atom
- Formation energy: 0.758 eV/atom
- Space group: P2/m (10)

=====

Entry 5:
A relaxed structure of ZrMnAlFe. Source: Alexandria, functional PBE.

abc: 4.325 4.325 4.325
angles: 60.00 60.00 60.00
Positions (direct):
Zr 0.000 0.000 0.000
Al 0.500 0.500 0.500
Fe 0.750 0.750 0.750
Mn 0.250 0.250 0.250

- Energy: -7.713 eV/atom
- Total moment: 0.52 μB/atom
- Formation energy: -0.233 eV/atom
- Space group: F-43m (216)

=====

Entry 6:
A relaxed structure of YPbBr2. Source: Alexandria, functional PBE.

abc: 5.506 5.506 5.506
angles: 60.00 60.00 60.00
Positions (direct):
Br 0.250 0.250 0.250
Br 0.000 0.000 0.000
Pb 0.500 0.500 0.500
Y 0.750 0.750 0.750

- Energy: -3.743 eV/atom
- Distance to the lowest polymorph of the same formula: 0.662 eV per atom
- Total moment: 0.63 μB/atom
- Space group: F-43m (216)

=====

Entry 7:
A relaxed structure of NaSb2IN. Source: Alexandria, functional PBE.

abc: 4.769 4.769 5.490
angles: 90.00 90.00 90.00
Positions (direct):
Na 0.500 0.500 0.500
N 0.000 0.000 0.000
I 0.000 0.000 0.500
Sb 0.000 0.500 0.000
Sb 0.500 0.000 0.000

- Energy: -3.378 eV/atom
- Distance to the lowest polymorph of the same formula: 0.000 eV per atom
- Total moment: 0.00 μB/atom
- Space group: P4/mmm (123)

=====

Entry 8:
A relaxed structure of Al2TcNi. Source: Alexandria, functional PBE.

abc: 3.140 3.140 5.539
angles: 90.00 90.00 90.00
Positions (direct):
Al 0.000 0.000 0.986
Al 0.500 0.500 0.276
Tc 0.500 0.500 0.761
Ni 0.000 0.000 0.478

- Energy: -6.159 eV/atom
- Total moment: 0.00 μB/atom
- Formation energy: -0.251 eV/atom
- Space group: P4mm (99)

=====

Entry 9:
A relaxed structure of NaPrAs2Pd5. Source: Alexandria, functional PBE.

abc: 4.259 4.259 9.426
angles: 90.00 90.00 90.00
Positions (direct):
Pd 0.500 0.500 0.500
Pd 0.000 0.500 0.727
Pd 0.000 0.500 0.273
Pd 0.500 0.000 0.273
Pd 0.500 0.000 0.727
As 0.500 0.500 0.136
As 0.500 0.500 0.864
Na 0.000 0.000 0.000
Pr 0.000 0.000 0.500

- Energy: -5.201 eV/atom
- Total moment: 0.00 μB/atom
- Formation energy: -0.606 eV/atom
- Space group: P4/mmm (123)

=====

Entry 10:
A relaxed structure of TiCrCN2. Source: Alexandria, functional PBE.

abc: 3.842 3.974 3.842
angles: 90.00 90.00 90.00
Positions (direct):
C 0.000 0.500 0.000
Ti 0.000 0.000 0.000
N 0.000 0.000 0.500
N 0.500 0.000 0.000
Cr 0.500 0.500 0.500

- Energy: -7.312 eV/atom
- Distance to the lowest polymorph of the same formula: 0.000 eV per atom
- Total moment: 0.00 μB/atom
- Space group: P4/mmm (123)

=====

Entry 11:
A relaxed structure of CoAuSe2. Source: Alexandria, functional PBE.

abc: 5.770 5.770 6.657
angles: 64.32 64.32 90.00
Positions (direct):
Se 0.573 0.125 0.250
Se 0.177 0.625 0.250
Se 0.375 0.427 0.750
Se 0.875 0.823 0.750
Co 0.500 0.500 0.000
Co 0.250 0.750 0.500
Au 0.750 0.250 0.500
Au 0.000 0.000 0.000

- Energy: -4.346 eV/atom
- Total moment: 0.00 μB/atom
- Space group: I-42d (122)

=====

Entry 12:
A relaxed structure of Pm4Pr8Sm3. Source: Alexandria, functional PBE.

abc: 6.973 9.439 9.439
angles: 82.17 111.66 111.66
Positions (direct):
Pr 0.500 0.248 0.752
Pr 0.251 0.248 0.248
Pr 0.500 0.752 0.248
Pr 0.000 0.296 0.704
Pr 0.799 0.297 0.297
Pr 0.201 0.703 0.703
Pr 0.749 0.752 0.752
Pr 0.000 0.704 0.296
Pm 0.000 0.000 0.000
Pm 0.000 0.500 0.000
Pm 0.000 0.000 0.500
Pm 0.500 0.000 0.000
Sm 0.500 0.000 0.500
Sm 0.500 0.500 0.500
Sm 0.500 0.500 0.000

- Energy: -4.461 eV/atom
- Distance to the lowest polymorph of the same formula: 0.170 eV per atom
- Total moment: 0.00 μB/atom
- Formation energy: 0.299 eV/atom
- Space group: C2/m (12)

=====

Question: Which value of total moment does entry 2 give?
Answer: 3.69 μB/atom